# CaNd2Th, relaxed, DFT GGA-PBE
# calculated total energy: -4.59 eV per atom
# energy of formation from the pure elements: 0.147 eV/atom
data_CaNd2Th
_chemical_formula_sum 'Ca1 Nd2 Th1'
_space_group_name_H-M_alt 'P 4/m m m'
_space_group_IT_number 123
_space_group_name_Hall '-P 4 2'
_cell_length_a 5.230
_cell_length_b 5.230
_cell_length_c 5.097
_cell_angle_alpha 90.00
_cell_angle_beta 90.00
_cell_angle_gamma 90.00
loop_
_atom_site_label
_atom_site_type_symbol
_atom_site_fract_x
_atom_site_fract_y
_atom_site_fract_z
Ca1 Ca 0.000 0.000 0.000
Nd1 Nd 0.000 0.500 0.500
Th1 Th 0.500 0.500 0.000